Compound: LiLaEuPd
Source: the Alexandria database
Functional: PBE-GGA
Structure: optimized geometry Values from VASP.

energy of formation from the pure elements: -313 meV per atom
calculated volume: 25.7 Å³ per atom

Quantum ESPRESSO input file:
```
&SYSTEM
  ibrav = 0, nat = 16, ntyp = 4
/
ATOMIC_SPECIES
Li 6.94 Li.upf
La 138.91 La.upf
Eu 151.96 Eu.upf
Pd 106.42 Pd.upf
CELL_PARAMETERS angstrom
7.438 0.000 0.000
0.000 7.438 0.000
0.000 0.000 7.438
ATOMIC_POSITIONS crystal
Li 0.000 0.000 0.000
Li 0.000 0.500 0.500
Li 0.500 0.000 0.500
Li 0.500 0.500 0.000
La 0.250 0.250 0.750
La 0.250 0.750 0.250
La 0.750 0.250 0.250
La 0.750 0.750 0.750
Eu 0.250 0.250 0.250
Eu 0.250 0.750 0.750
Eu 0.750 0.250 0.750
Eu 0.750 0.750 0.250
Pd 0.000 0.000 0.500
Pd 0.000 0.500 0.000
Pd 0.500 0.000 0.000
Pd 0.500 0.500 0.500
```